{
  "formula": "Nd6InRh2",
  "functional": "PBE",
  "state": "relaxed",
  "lattice": [[1.186, 8.585, 1.468], [0.980, -2.256, -8.439], [-8.229, -2.363, 1.992]],
  "species": ["Nd", "Nd", "Nd", "Rh", "Nd", "Nd", "Nd", "Rh", "Nd", "Nd", "Nd", "In", "Rh", "Rh", "Nd", "In", "Nd", "Nd"],
  "frac_coords": [[0.201, 0.765, 0.966], [0.308, 0.637, 0.329], [0.112, 0.292, 0.820], [0.333, 0.000, 0.333], [0.472, 0.292, 0.180], [0.799, 0.235, 0.034], [0.692, 0.363, 0.671], [0.500, 0.633, 0.133], [0.692, 0.021, 0.329], [0.528, 0.708, 0.820], [0.201, 0.235, 0.436], [0.000, 0.500, 0.500], [0.500, 0.367, 0.867], [0.667, 0.000, 0.667], [0.888, 0.708, 0.180], [0.000, 0.000, 0.000], [0.308, 0.979, 0.671], [0.799, 0.765, 0.564]],
  "final_energy_ev_per_atom": -5.597,
  "de_polymorph_mev_per_atom": 0,
  "e_form_ev_per_atom": -0.481,
  "dos_ef_per_ev_atom": 0.868
}